Material: Sm9HoTm2
Method: DFT, PBE
State: relaxed

Geometry as CIF:
```
data_Sm9HoTm2
_symmetry_space_group_name_H-M 'P 1'
_symmetry_Int_Tables_number 1
_symmetry_space_group_name_Hall 'P 1'
_cell_length_a 5.083
_cell_length_b 5.083
_cell_length_c 15.249
_cell_angle_alpha 90.00
_cell_angle_beta 90.00
_cell_angle_gamma 90.00
loop_
_atom_site_label
_atom_site_type_symbol
_atom_site_fract_x
_atom_site_fract_y
_atom_site_fract_z
Sm1 Sm 0.500 0.000 0.500
Sm2 Sm 0.500 0.000 0.833
Sm3 Sm 0.000 0.500 0.833
Ho1 Ho 0.000 0.000 0.000
Sm4 Sm 0.500 0.500 0.666
Tm1 Tm 0.000 0.000 0.334
Sm5 Sm 0.500 0.500 0.334
Sm6 Sm 0.000 0.500 0.500
Tm2 Tm 0.000 0.000 0.666
Sm7 Sm 0.500 0.000 0.167
Sm8 Sm 0.500 0.500 0.000
Sm9 Sm 0.000 0.500 0.167
```

Output
formation enthalpy at 0 K	0.018	eV/atom
total DFT energy (no corrections)	-4.648	eV/atom